Arrangement i

BaMn2O4: relaxed, GGA+U.

Computed properties:
ρ   4.9 g/cm³
Total magnetic moment   8.00 μB per formula unit

CIF file:
```
data_BaMn2O4
_cell_length_a 9.526
_cell_length_b 12.313
_cell_length_c 7.182
_cell_angle_alpha 90.00
_cell_angle_beta 90.00
_cell_angle_gamma 90.00
_space_group_name_H-M_alt 'F d d 2'
_space_group_IT_number 43
_space_group_name_Hall 'F 2 -2d'
loop_
_atom_site_label
_atom_site_type_symbol
_atom_site_fract_x
_atom_site_fract_y
_atom_site_fract_z
Ba1 Ba 0.000 0.000 0.000
Mn1 Mn 0.096 0.104 0.585
O1 O 0.045 0.122 0.320
O2 O 0.108 0.415 0.099
```



Arrangement ii

BaMn2O4: relaxed, GGA+U.

Computed properties:
ρ   4.2 g/cm³
Total magnetic moment   8.00 μB per formula unit

CIF file:
```
data_BaMn2O4
_cell_length_a 10.550
_cell_length_b 13.190
_cell_length_c 14.313
_cell_angle_alpha 90.00
_cell_angle_beta 90.00
_cell_angle_gamma 90.00
_space_group_name_H-M_alt 'F d d d'
_space_group_IT_number 70
loop_
_space_group_symop_operation_xyz
'x,y,z'
'-x,-y,-z'
'-x+1/4,-y+1/4,z'
'x+1/4,y+1/4,-z'
'x,-y+1/4,-z+1/4'
'-x,y+1/4,z+1/4'
'-x+1/4,y,-z+1/4'
'x+1/4,-y,z+1/4'
'x,y+1/2,z+1/2'
'-x,-y+1/2,-z+1/2'
'-x+1/4,-y+3/4,z+1/2'
'x+1/4,y+3/4,-z+1/2'
'x,-y+3/4,-z+3/4'
'-x,y+3/4,z+3/4'
'-x+1/4,y+1/2,-z+3/4'
'x+1/4,-y+1/2,z+3/4'
'x+1/2,y,z+1/2'
'-x+1/2,-y,-z+1/2'
'-x+3/4,-y+1/4,z+1/2'
'x+3/4,y+1/4,-z+1/2'
'x+1/2,-y+1/4,-z+3/4'
'-x+1/2,y+1/4,z+3/4'
'-x+3/4,y,-z+3/4'
'x+3/4,-y,z+3/4'
'x+1/2,y+1/2,z'
'-x+1/2,-y+1/2,-z'
'-x+3/4,-y+3/4,z'
'x+3/4,y+3/4,-z'
'x+1/2,-y+3/4,-z+1/4'
'-x+1/2,y+3/4,z+1/4'
'-x+3/4,y+1/2,-z+1/4'
'x+3/4,-y+1/2,z+1/4'
loop_
_atom_site_label
_atom_site_type_symbol
_atom_site_fract_x
_atom_site_fract_y
_atom_site_fract_z
Ba1 Ba 0.000 0.000 0.000
Mn1 Mn 0.111 0.016 0.754
O1 O 0.006 0.354 0.747
O2 O 0.019 0.058 0.210
```



Relative energies, unit kJ/mol of atoms: arrangement i 0.0; arrangement ii 27.4